Entry 1:
This record from Alexandria describes an optimized crystal structure of AlPtRh2. The functional is PBE.

Computed properties:
Its formation energy is -371 meV/atom. Its total energy is -6.4927 eV/atom. The calculation puts the density of states at the Fermi level at 3.3 states/eV per cell.

a b c (Å): 4.6062 2.7710 4.6182
angles (deg): 89.46 90.00 90.00
Positions (direct):
Pt (0.5000, 0.7500, 0.7500)
Al (0.5000, 0.2500, 0.2500)
Rh (0.0000, 0.0010, 0.0030)
Rh (0.0000, 0.4990, 0.4970)

***

Entry 2:
This record from Alexandria describes an optimized crystal structure of Pr2Nd7Dy3. The functional is PBE.

Computed properties:
The energy above the most stable polymorph in this dataset comes out at 46 meV per atom. Its formation energy is 112 meV/atom. Its total energy is -4.6166 eV/atom. The calculation puts the density of states at the Fermi level at 20.0 states/eV per cell.

a b c (Å): 3.6743 5.8621 19.6103
angles (deg): 98.60 90.00 90.00
Positions (direct):
Nd (0.0000, 0.2314, 0.4628)
Nd (0.5000, 0.0716, 0.1432)
Nd (0.0000, 0.7686, 0.5372)
Nd (0.0000, 0.0000, 0.0000)
Nd (0.0000, 0.5905, 0.1810)
Nd (0.5000, 0.9284, 0.8568)
Nd (0.0000, 0.4095, 0.8190)
Pr (0.0000, 0.8516, 0.7032)
Pr (0.0000, 0.1484, 0.2968)
Dy (0.5000, 0.3146, 0.6292)
Dy (0.5000, 0.5000, 0.0000)
Dy (0.5000, 0.6854, 0.3708)

***

Entry 3:
This record from Alexandria describes an optimized crystal structure of CaNdZnHg. The functional is PBE.

Computed properties:
The energy above the most stable polymorph in this dataset comes out at 22 meV per atom. Its formation energy is -392 meV/atom. Its total energy is -2.4787 eV/atom. The calculation puts the density of states at the Fermi level at 3.6 states/eV per cell.

a b c (Å): 3.7558 3.7558 7.5013
angles (deg): 90.00 90.00 90.00
Positions (direct):
Zn (0.0000, 0.0000, 0.3504)
Ca (0.5000, 0.5000, 0.5992)
Hg (0.0000, 0.0000, 0.8575)
Nd (0.5000, 0.5000, 0.1209)

***

Entry 4:
This record from Alexandria describes an optimized crystal structure of BeCuBTe2. The functional is PBE.

Computed properties:
Its total energy is -2.8942 eV/atom. The calculation puts the formation energy from raw total energies at 1262 meV/atom. The calculation puts the density of states at the Fermi level at 2.0 states/eV per cell.

a b c (Å): 5.1324 4.0977 5.1324
angles (deg): 90.00 90.00 90.00
Positions (direct):
Be (0.0000, 0.5000, 0.0000)
Te (0.0000, 0.0000, 0.5000)
Te (0.5000, 0.0000, 0.0000)
B (0.5000, 0.5000, 0.5000)
Cu (0.0000, 0.0000, 0.0000)

***

Entry 5:
This record from Alexandria describes an optimized crystal structure of Pr4AlCd. The functional is PBE.

Computed properties:
The energy above the most stable polymorph in this dataset comes out at 14 meV per atom. Its formation energy is 21 meV/atom. Its total energy is -3.9417 eV/atom. The calculation puts the density of states at the Fermi level at 9.4 states/eV per cell.

a b c (Å): 5.1778 5.1781 7.7768
angles (deg): 90.00 90.00 90.00
Positions (direct):
Pr (0.0013, 0.4973, 0.2377)
Pr (0.5013, 0.9973, 0.7586)
Pr (0.0013, 0.4973, 0.7586)
Pr (0.5013, 0.9973, 0.2377)
Al (0.5013, 0.4973, 0.9981)
Cd (0.0013, 0.9972, 0.4981)

***

Entry 6:
This record from Alexandria describes an optimized crystal structure of KScAs3. The functional is PBE.

Computed properties:
The energy above the most stable polymorph in this dataset comes out at 1399 meV per atom. Its formation energy is 1155 meV/atom. Its total energy is -3.1204 eV/atom. The calculation puts the density of states at the Fermi level at 4.6 states/eV per cell.

a b c (Å): 5.2129 5.2129 5.2129
angles (deg): 90.00 90.00 90.00
Positions (direct):
As (0.5000, 0.0000, 0.0000)
As (0.0000, 0.5000, 0.0000)
As (0.0000, 0.0000, 0.5000)
K (0.0000, 0.0000, 0.0000)
Sc (0.5000, 0.5000, 0.5000)

***

Entry 7:
This record from Alexandria describes an optimized crystal structure of BaPdSN2. The functional is PBE.

Computed properties:
The energy above the most stable polymorph in this dataset comes out at 1484 meV per atom. Its total energy is -3.6350 eV/atom. The calculation puts the formation energy from raw total energies at 1944 meV/atom. The calculation puts the density of states at the Fermi level at 4.9 states/eV per cell.

a b c (Å): 4.5989 4.5989 6.1563
angles (deg): 90.00 90.00 90.00
Positions (direct):
Pd (0.5000, 0.5000, 0.5000)
N (0.5000, 0.0000, 0.0000)
N (0.0000, 0.5000, 0.0000)
Ba (0.0000, 0.0000, 0.0000)
S (0.0000, 0.0000, 0.5000)

***

Entry 8:
This record from Alexandria describes an optimized crystal structure of Cd3CoSn. The functional is PBE.

Computed properties:
The energy above the most stable polymorph in this dataset comes out at 0 meV per atom. Its formation energy is 417 meV/atom. Its total energy is -2.3540 eV/atom. The calculation puts the density of states at the Fermi level at 3.4 states/eV per cell.

a b c (Å): 4.9812 4.9812 4.9812
angles (deg): 90.00 90.00 90.00
Positions (direct):
Sn (0.5000, 0.5000, 0.5000)
Cd (0.0000, 0.0000, 0.5000)
Cd (0.5000, 0.0000, 0.0000)
Cd (0.0000, 0.5000, 0.0000)
Co (0.0000, 0.0000, 0.0000)

***

Entry 9:
This record from Alexandria describes an optimized crystal structure of Li6PmIn6. The functional is PBE.

Computed properties:
Its formation energy is -314 meV/atom. Its total energy is -2.8262 eV/atom. The calculation puts the density of states at the Fermi level at 4.2 states/eV per cell.

a b c (Å): 5.7313 7.4115 7.4115
angles (deg): 81.96 67.25 67.25
Positions (direct):
In (0.0000, 0.3411, 0.6589)
In (0.3006, 0.1994, 0.1994)
In (0.6546, 0.3454, 0.3454)
In (0.6994, 0.8006, 0.8006)
In (0.3454, 0.6546, 0.6546)
In (0.0000, 0.6589, 0.3411)
Li (0.5000, 0.2292, 0.7708)
Li (0.0000, 0.0000, 0.5000)
Li (0.5000, 0.7708, 0.2292)
Li (0.0000, 0.5000, 0.0000)
Li (0.5000, 0.0000, 0.5000)
Li (0.5000, 0.5000, 0.0000)
Pm (0.0000, 0.0000, 0.0000)

***

Entry 10:
This record from Alexandria describes an optimized crystal structure of Zn3H2Rh4. The functional is PBE.

Computed properties:
Its total energy is -4.6240 eV/atom. The calculation puts the density of states at the Fermi level at 4.9 states/eV per cell.

a b c (Å): 4.0756 4.4753 6.6883
angles (deg): 103.82 89.96 117.10
Positions (direct):
Zn (0.6000, 0.1759, 0.7258)
Zn (0.0116, 0.0000, 0.0000)
Zn (0.4236, 0.8241, 0.2742)
H (0.6406, 0.3667, 0.3857)
H (0.2760, 0.6336, 0.6143)
Rh (0.8857, 0.7468, 0.5960)
Rh (0.1378, 0.2530, 0.4040)
Rh (0.7244, 0.4243, 0.1344)
Rh (0.3004, 0.5757, 0.8656)

***

Entry 11:
This record from Alexandria describes an optimized crystal structure of MgReRh. The functional is PBE.

Computed properties:
The energy above the most stable polymorph in this dataset comes out at 501 meV per atom. Its formation energy is 355 meV/atom. Its total energy is -6.7760 eV/atom. The calculation puts the density of states at the Fermi level at 1.4 states/eV per cell.

a b c (Å): 4.2145 4.2145 4.2145
angles (deg): 60.00 60.00 60.00
Positions (direct):
Rh (0.5000, 0.5000, 0.5000)
Mg (0.7500, 0.7500, 0.7500)
Re (0.2500, 0.2500, 0.2500)

***

Entry 12:
This record from Alexandria describes an optimized crystal structure of PRhPb. The functional is PBE.

Computed properties:
Its formation energy is -220 meV/atom. Its total energy is -5.7094 eV/atom. The calculation puts the density of states at the Fermi level at 0.8 states/eV per cell.

a b c (Å): 3.4967 3.4967 5.8725
angles (deg): 90.00 90.00 120.00
Positions (direct):
Rh (0.6667, 0.3333, 0.7385)
Pb (0.3333, 0.6667, 0.3469)
P (0.0000, 0.0000, 0.9146)

***

Number 1: V 14.736 A^3/atom. Number 2: V 34.803 A^3/atom. Number 3: V 26.453 A^3/atom. Number 4: V 21.588 A^3/atom. Number 5: V 34.751 A^3/atom. Number 6: V 28.331 A^3/atom. Number 7: V 26.041 A^3/atom. Number 8: V 24.718 A^3/atom. Number 9: V 20.595 A^3/atom. Number 10: V 11.625 A^3/atom. Number 11: V 17.645 A^3/atom. Number 12: V 20.728 A^3/atom.